# 1
# NaZnCu2I6, optimized geometry, DFT PBE-GGA
# Uncorrected formation energy: -0.434 eV/atom
# Theoretical density: 4.2 g/cm³
# Total energy: -2.44 eV per atom
data_NaZnCu2I6
_cell_length_a 14.873
_cell_length_b 14.278
_cell_length_c 7.908
_cell_angle_alpha 90.00
_cell_angle_beta 112.48
_cell_angle_gamma 90.00
_symmetry_space_group_name_H-M 'C 1 2/c 1'
_symmetry_Int_Tables_number 15
_symmetry_space_group_name_Hall '-C 2yc'
loop_
_atom_site_label
_atom_site_type_symbol
_atom_site_fract_x
_atom_site_fract_y
_atom_site_fract_z
Na1 Na 0.000 0.123 0.250
Zn1 Zn 0.000 0.189 0.750
Cu1 Cu 0.187 0.430 0.192
I1 I 0.113 0.258 0.068
I2 I 0.121 0.071 0.667
I3 I 0.128 0.439 0.459


# 2
# NbCu3I9, optimized geometry, DFT PBE-GGA
# Uncorrected formation energy: -0.215 eV/atom
# Theoretical density: 4.6 g/cm³
# Total energy: -3.01 eV per atom
data_NbCu3I9
_cell_length_a 18.801
_cell_length_b 9.986
_cell_length_c 13.943
_cell_angle_alpha 90.00
_cell_angle_beta 128.24
_cell_angle_gamma 90.00
_symmetry_space_group_name_H-M 'C 1 c 1'
_symmetry_Int_Tables_number 9
_symmetry_space_group_name_Hall 'C -2yc'
loop_
_atom_site_label
_atom_site_type_symbol
_atom_site_fract_x
_atom_site_fract_y
_atom_site_fract_z
Nb1 Nb 0.000 0.222 0.000
Cu1 Cu 0.138 0.415 0.848
Cu2 Cu 0.269 0.063 0.772
Cu3 Cu 0.361 0.381 0.669
I1 I 0.004 0.087 0.181
I2 I 0.101 0.435 0.141
I3 I 0.142 0.055 0.062
I4 I 0.193 0.379 0.481
I5 I 0.238 0.215 0.890
I6 I 0.344 0.143 0.427
I7 I 0.371 0.476 0.333
I8 I 0.388 0.141 0.753
I9 I 0.492 0.185 0.304


# 3
# Nb2CuI, optimized geometry, DFT PBE-GGA
# Uncorrected formation energy: 0.661 eV/atom
# Polymorph energy (0 for the lowest one): 74 meV per atom
# Theoretical density: 8.0 g/cm³
# Total energy: -5.79 eV per atom
data_Nb2CuI
_cell_length_a 3.954
_cell_length_b 3.954
_cell_length_c 20.086
_cell_angle_alpha 90.00
_cell_angle_beta 90.00
_cell_angle_gamma 90.00
_symmetry_space_group_name_H-M 'I -4 2 d'
_symmetry_Int_Tables_number 122
_symmetry_space_group_name_Hall 'I -4 2bw'
loop_
_atom_site_label
_atom_site_type_symbol
_atom_site_fract_x
_atom_site_fract_y
_atom_site_fract_z
Nb1 Nb 0.236 0.250 0.125
Cu1 Cu 0.000 0.000 0.000
I1 I 0.000 0.000 0.500


# 4
# NbCuI2, optimized geometry, DFT PBE-GGA
# Uncorrected formation energy: 0.604 eV/atom
# Polymorph energy (0 for the lowest one): 19 meV per atom
# Theoretical density: 7.9 g/cm³
# Total energy: -3.71 eV per atom
data_NbCuI2
_cell_length_a 7.010
_cell_length_b 7.010
_cell_length_c 7.010
_cell_angle_alpha 90.00
_cell_angle_beta 90.00
_cell_angle_gamma 90.00
_symmetry_space_group_name_H-M 'F m -3 m'
_symmetry_Int_Tables_number 225
_symmetry_space_group_name_Hall '-F 4 2 3'
loop_
_atom_site_label
_atom_site_type_symbol
_atom_site_fract_x
_atom_site_fract_y
_atom_site_fract_z
Nb1 Nb 0.000 0.000 0.000
Cu1 Cu 0.000 0.000 0.500
I1 I 0.250 0.250 0.250


# 5
# NbCuI3, optimized geometry, DFT PBE-GGA
# Uncorrected formation energy: 0.738 eV/atom
# Polymorph energy (0 for the lowest one): 255 meV per atom
# Theoretical density: 5.8 g/cm³
# Total energy: -3.02 eV per atom
data_NbCuI3
_cell_length_a 5.356
_cell_length_b 5.356
_cell_length_c 5.356
_cell_angle_alpha 90.00
_cell_angle_beta 90.00
_cell_angle_gamma 90.00
_symmetry_space_group_name_H-M 'P m -3 m'
_symmetry_Int_Tables_number 221
_symmetry_space_group_name_Hall '-P 4 2 3'
loop_
_atom_site_label
_atom_site_type_symbol
_atom_site_fract_x
_atom_site_fract_y
_atom_site_fract_z
Nb1 Nb 0.000 0.000 0.000
Cu1 Cu 0.500 0.500 0.500
I1 I 0.000 0.500 0.500


# 6
# NbCu2I, optimized geometry, DFT PBE-GGA
# Uncorrected formation energy: 0.977 eV/atom
# Polymorph energy (0 for the lowest one): 280 meV per atom
# Theoretical density: 7.8 g/cm³
# Total energy: -3.98 eV per atom
data_NbCu2I
_cell_length_a 6.646
_cell_length_b 6.646
_cell_length_c 6.646
_cell_angle_alpha 90.00
_cell_angle_beta 90.00
_cell_angle_gamma 90.00
_symmetry_space_group_name_H-M 'F m -3 m'
_symmetry_Int_Tables_number 225
_symmetry_space_group_name_Hall '-F 4 2 3'
loop_
_atom_site_label
_atom_site_type_symbol
_atom_site_fract_x
_atom_site_fract_y
_atom_site_fract_z
Nb1 Nb 0.000 0.000 0.000
Cu1 Cu 0.250 0.250 0.250
I1 I 0.000 0.000 0.500


# 7
# NbCu2I, optimized geometry, DFT PBE-GGA
# Uncorrected formation energy: 0.697 eV/atom
# Polymorph energy (0 for the lowest one): 0 meV per atom
# Theoretical density: 7.8 g/cm³
# Total energy: -4.26 eV per atom
data_NbCu2I
_cell_length_a 7.423
_cell_length_b 7.423
_cell_length_c 5.393
_cell_angle_alpha 90.00
_cell_angle_beta 90.00
_cell_angle_gamma 90.00
_symmetry_space_group_name_H-M 'I -4 2 d'
_symmetry_Int_Tables_number 122
_symmetry_space_group_name_Hall 'I -4 2bw'
loop_
_atom_site_label
_atom_site_type_symbol
_atom_site_fract_x
_atom_site_fract_y
_atom_site_fract_z
Nb1 Nb 0.000 0.000 0.000
Cu1 Cu 0.247 0.250 0.125
I1 I 0.000 0.000 0.500


# 8
# NbCuI, optimized geometry, DFT PBE-GGA
# Uncorrected formation energy: 0.467 eV/atom
# Theoretical density: 6.4 g/cm³
# Total energy: -4.77 eV per atom
data_NbCuI
_cell_length_a 11.706
_cell_length_b 3.794
_cell_length_c 6.572
_cell_angle_alpha 90.00
_cell_angle_beta 90.00
_cell_angle_gamma 90.00
_symmetry_space_group_name_H-M 'A m m 2'
_symmetry_Int_Tables_number 38
_symmetry_space_group_name_Hall 'A 2 -2'
loop_
_atom_site_label
_atom_site_type_symbol
_atom_site_fract_x
_atom_site_fract_y
_atom_site_fract_z
Nb1 Nb 0.116 0.000 0.000
Cu1 Cu 0.000 0.000 0.333
Cu2 Cu 0.500 0.000 0.334
I1 I 0.286 0.000 0.333